Density functional theory data (PBE+U) for crystalline PuIn2NiO8 at its relaxed geometry.

It has space group P-1 (No. 2), with a = 4.933 Å, b = 4.942 Å, c = 6.517 Å, α = 86.85°, β = 86.84° and γ = 86.47°. Symmetry generates all atoms from Pu at (0.000, 0.000, 0.000), In at (0.474, 0.474, 0.263), Ni at (0.000, 0.000, 0.500), O at (0.171, 0.168, 0.253), O at (0.195, 0.192, 0.784), O at (0.288, 0.709, 0.500) and O at (0.301, 0.696, 0.000).

The calculation puts the volume at 158 Å³/cell. The calculated total energy is -6.723 eV per atom.